Here is a relaxed GaRhI2N crystal from the Alexandria database. Energies are from PBE-GGA.

a = 5.7623 Å, b = 5.7623 Å, c = 3.5622 Å
α = 90.00°, β = 90.00°, γ = 90.00°
Atoms (fractional coordinates):
I 0.0000 0.5000 0.0000
I 0.5000 0.0000 0.0000
Rh 0.5000 0.5000 0.5000
Ga 0.0000 0.0000 0.0000
N 0.0000 0.0000 0.5000

Summary:
SG ... P4/mmm, No. 123
Size of the total moment ... 2.76 μB/f.u.
E_form (uncorrected) ... 21.4 kcal/mol of atoms

=====

Here is a relaxed Li2BeAg crystal from the Alexandria database. Energies are from PBE-GGA.

a = 4.2391 Å, b = 4.2391 Å, c = 4.2391 Å
α = 60.00°, β = 60.00°, γ = 60.00°
Atoms (fractional coordinates):
Ag 0.5000 0.5000 0.5000
Be 0.7500 0.7500 0.7500
Li 0.0000 0.0000 0.0000
Li 0.2500 0.2500 0.2500

Summary:
SG ... F-43m, No. 216
Energy relative to the elements ... 0.06 eV/f.u.
Size of the total moment ... 0.00 μB/f.u.

=====

Look up the size of the total moment of the first one.
2.76 μB/f.u.

=====

What is the formula in the second record?
Li2BeAg

=====

Which of these has the highest size of the total moment?
GaRhI2N

=====

size of the total moment of number 2 (Li2BeAg)?
0.00 μB/f.u.